Below is crystalline AcPr2HfN4 at its relaxed geometry, with properties calculated at the PBE level.

Values from the calculation:
The value obtained for the formation energy without anion corrections is -1.25 eV/atom.

abc: 6.227 3.582 6.351
angles: 90.00 109.36 90.00
Fractional coordinates of all 8 atoms:
Ac  0.000  0.000  0.000
Pr  0.500  0.000  0.500
Pr  0.500  0.500  0.000
Hf  0.000  0.500  0.500
N  0.225  0.000  0.719
N  0.229  0.500  0.287
N  0.771  0.500  0.713
N  0.775  0.000  0.281